# Ba2HoHgTe5 (PBE, optimized geometry)
# Fermi-level density of states in states/eV per atom: 0.578
# Energy relative to the elements, uncorrected in eV per formula unit: -10.6
# Calculated total energy in eV per atom: -3.8966
data_Ba2HoHgTe5
_space_group_name_H-M_alt 'C m c 21'
_space_group_IT_number 36
_cell_length_a 4.569
_cell_length_b 20.559
_cell_length_c 14.101
_cell_angle_alpha 90.00
_cell_angle_beta 90.00
_cell_angle_gamma 90.00
loop_
_space_group_symop_operation_xyz
'x,y,z'
'-x,-y,z+1/2'
'-x,y,z'
'x,-y,z+1/2'
'x+1/2,y+1/2,z'
'-x+1/2,-y+1/2,z+1/2'
'-x+1/2,y+1/2,z'
'x+1/2,-y+1/2,z+1/2'
loop_
_atom_site_label
_atom_site_type_symbol
_atom_site_fract_x
_atom_site_fract_y
_atom_site_fract_z
_atom_site_occupancy
Ba1 Ba 0.000 0.120 0.000 1
Ba2 Ba 0.000 0.130 0.627 1
Ho1 Ho 0.000 0.207 0.323 1
Hg1 Hg 0.000 0.452 0.749 1
Te1 Te 0.000 0.056 0.368 1
Te2 Te 0.000 0.293 0.971 1
Te3 Te 0.000 0.305 0.674 1
Te4 Te 0.000 0.354 0.317 1
Te5 Te 0.000 0.495 0.068 1